No. 1
# SmCdAgGe PBE relaxed
# formation energy: -0.3190 eV per atom
# DOS(E_F): 1.8 states/eV/cell
# symmetry: No. 216
data_SmCdAgGe
_symmetry_space_group_name_H-M 'P 1'
_symmetry_Int_Tables_number 1
_cell_length_a 4.9931
_cell_length_b 4.9931
_cell_length_c 4.9931
_cell_angle_alpha 60.00
_cell_angle_beta 60.00
_cell_angle_gamma 60.00
loop_
_symmetry_equiv_pos_as_xyz
'x,y,z'
loop_
_atom_site_label
_atom_site_type_symbol
_atom_site_fract_x
_atom_site_fract_y
_atom_site_fract_z
Ag1 Ag 0.0000 0.0000 0.0000
Sm1 Sm 0.7500 0.7500 0.7500
Cd1 Cd 0.2500 0.2500 0.2500
Ge1 Ge 0.5000 0.5000 0.5000


No. 2
# SrMgI2Br PBE relaxed
# uncorrected formation energy: -0.755 eV per atom
# DOS(E_F): 2.5 states/eV/cell
# symmetry: No. 123
data_SrMgI2Br
_symmetry_space_group_name_H-M 'P 1'
_symmetry_Int_Tables_number 1
_cell_length_a 5.4729
_cell_length_b 7.1622
_cell_length_c 5.4729
_cell_angle_alpha 90.00
_cell_angle_beta 90.00
_cell_angle_gamma 90.00
loop_
_symmetry_equiv_pos_as_xyz
'x,y,z'
loop_
_atom_site_label
_atom_site_type_symbol
_atom_site_fract_x
_atom_site_fract_y
_atom_site_fract_z
Sr1 Sr 0.0000 0.5000 0.0000
Mg1 Mg 0.0000 0.0000 0.0000
Br1 Br 0.5000 0.5000 0.5000
I1 I 0.5000 0.0000 0.0000
I2 I 0.0000 0.0000 0.5000


No. 3
# Ti8In2Pb PBE relaxed
# formation energy: 0.0805 eV per atom
# DOS(E_F): 11.9 states/eV/cell
# symmetry: No. 12
data_Ti8In2Pb
_symmetry_space_group_name_H-M 'P 1'
_symmetry_Int_Tables_number 1
_cell_length_a 4.9328
_cell_length_b 7.4053
_cell_length_c 7.6578
_cell_angle_alpha 61.08
_cell_angle_beta 75.38
_cell_angle_gamma 58.54
loop_
_symmetry_equiv_pos_as_xyz
'x,y,z'
loop_
_atom_site_label
_atom_site_type_symbol
_atom_site_fract_x
_atom_site_fract_y
_atom_site_fract_z
Ti1 Ti 0.5000 0.2130 0.5741
Ti2 Ti 0.1844 0.8968 0.7841
Ti3 Ti 0.1844 0.6809 0.2159
Ti4 Ti 0.8156 0.1032 0.2159
Ti5 Ti 0.7164 0.5709 0.0000
Pb1 Pb 0.5000 0.0000 0.0000
In1 In 0.0000 0.3060 0.3880
In2 In 0.0000 0.6940 0.6120
Ti6 Ti 0.2836 0.4291 0.0000
Ti7 Ti 0.8156 0.3191 0.7841
Ti8 Ti 0.5000 0.7870 0.4259


No. 4
# AsPbAu2 PBE relaxed
# formation energy: 0.0374 eV per atom
# DOS(E_F): 2.8 states/eV/cell
# symmetry: No. 122
data_AsPbAu2
_symmetry_space_group_name_H-M 'P 1'
_symmetry_Int_Tables_number 1
_cell_length_a 5.0548
_cell_length_b 5.0548
_cell_length_c 8.8853
_cell_angle_alpha 73.47
_cell_angle_beta 73.47
_cell_angle_gamma 90.00
loop_
_symmetry_equiv_pos_as_xyz
'x,y,z'
loop_
_atom_site_label
_atom_site_type_symbol
_atom_site_fract_x
_atom_site_fract_y
_atom_site_fract_z
Pb1 Pb 0.0000 0.0000 0.0000
As1 As 0.2500 0.7500 0.5000
Au1 Au 0.3750 0.4765 0.7500
Au2 Au 0.8750 0.7735 0.7500
Au3 Au 0.5235 0.1250 0.2500
Pb2 Pb 0.7500 0.2500 0.5000
As2 As 0.5000 0.5000 0.0000
Au4 Au 0.2265 0.6250 0.2500


No. 5
# Cs2PrAlTe4 PBE relaxed
# uncorrected formation energy: -1.018 eV per atom
# DOS(E_F): 0.0 states/eV/cell
# symmetry: No. 121
data_Cs2PrAlTe4
_symmetry_space_group_name_H-M 'P 1'
_symmetry_Int_Tables_number 1
_cell_length_a 7.6870
_cell_length_b 7.6621
_cell_length_c 7.6621
_cell_angle_alpha 75.43
_cell_angle_beta 59.89
_cell_angle_gamma 59.89
loop_
_symmetry_equiv_pos_as_xyz
'x,y,z'
loop_
_atom_site_label
_atom_site_type_symbol
_atom_site_fract_x
_atom_site_fract_y
_atom_site_fract_z
Cs1 Cs 0.5000 0.5000 0.5000
Te1 Te 0.1269 0.3237 0.0000
Te2 Te 0.4506 0.6763 0.0000
Cs2 Cs 0.0000 0.5000 0.5000
Pr1 Pr 0.0000 0.0000 0.0000
Al1 Al 0.5000 0.0000 0.0000
Te3 Te 0.8731 0.0000 0.6763
Te4 Te 0.5494 0.0000 0.3237


No. 6
# Ce2ReC PBE relaxed
# formation energy: 0.5140 eV per atom
# DOS(E_F): 4.7 states/eV/cell
# symmetry: No. 166
data_Ce2ReC
_symmetry_space_group_name_H-M 'P 1'
_symmetry_Int_Tables_number 1
_cell_length_a 3.3373
_cell_length_b 3.3373
_cell_length_c 8.3532
_cell_angle_alpha 78.48
_cell_angle_beta 78.48
_cell_angle_gamma 60.00
loop_
_symmetry_equiv_pos_as_xyz
'x,y,z'
loop_
_atom_site_label
_atom_site_type_symbol
_atom_site_fract_x
_atom_site_fract_y
_atom_site_fract_z
Ce1 Ce 0.1040 0.1040 0.6880
Ce2 Ce 0.8960 0.8960 0.3120
C1 C 0.5000 0.5000 0.5000
Re1 Re 0.0000 0.0000 0.0000


No. 7
# MoPb2Cl PBE relaxed
# ΔE to the lowest computed polymorph: 0.0 meV/atom
# uncorrected formation energy: 0.228 eV per atom
# DOS(E_F): 3.0 states/eV/cell
# symmetry: No. 44
data_MoPb2Cl
_symmetry_space_group_name_H-M 'P 1'
_symmetry_Int_Tables_number 1
_cell_length_a 7.3068
_cell_length_b 7.3068
_cell_length_c 5.0358
_cell_angle_alpha 69.85
_cell_angle_beta 69.85
_cell_angle_gamma 24.94
loop_
_symmetry_equiv_pos_as_xyz
'x,y,z'
loop_
_atom_site_label
_atom_site_type_symbol
_atom_site_fract_x
_atom_site_fract_y
_atom_site_fract_z
Pb1 Pb 0.2534 0.2534 0.2466
Cl1 Cl 0.4119 0.4119 0.5881
Mo1 Mo 0.7654 0.7654 0.7347
Pb2 Pb 0.0694 0.0694 0.9306


No. 8
# PrErCuSi PBE relaxed
# uncorrected formation energy: -0.376 eV per atom
# DOS(E_F): 3.0 states/eV/cell
# symmetry: No. 216
data_PrErCuSi
_symmetry_space_group_name_H-M 'P 1'
_symmetry_Int_Tables_number 1
_cell_length_a 5.0239
_cell_length_b 5.0239
_cell_length_c 5.0239
_cell_angle_alpha 60.00
_cell_angle_beta 60.00
_cell_angle_gamma 60.00
loop_
_symmetry_equiv_pos_as_xyz
'x,y,z'
loop_
_atom_site_label
_atom_site_type_symbol
_atom_site_fract_x
_atom_site_fract_y
_atom_site_fract_z
Pr1 Pr 0.5000 0.5000 0.5000
Cu1 Cu 0.2500 0.2500 0.2500
Er1 Er 0.0000 0.0000 0.0000
Si1 Si 0.7500 0.7500 0.7500